Material: Hf2TaAgRh
Method: DFT, PBE
State: optimized geometry

DFT formation energy ... 0.822 eV per atom

Lattice parameters (Å, degrees): 4.813 4.813 4.937 90.00 90.00 90.00
Sites, in units of the cell vectors:
Hf1 0.000 0.500 0.000
Hf2 0.500 0.000 0.000
Ta1 0.000 0.000 0.500
Ag1 0.500 0.500 0.500
Rh1 0.500 0.500 0.000